Record 1
Computed, not measured: an optimized crystal structure of NaAlSi at the GGA-PBE level of DFT.

Geometry as POSCAR:
```
NaAlSi
1.0
-2.8407 0.5711 1.0397
-1.3790 -3.7105 -3.8921
1.8847 -3.6324 6.6089
Al Si Na
2 2 2
Cartesian
-0.9638 -4.5094 2.9195 Al
-1.3713 -2.2623 0.8370 Al
-2.0869 -2.0235 3.4552 Si
-0.2481 -4.7483 0.3013 Si
-1.2416 -3.3321 -2.2525 Na
-1.0935 -3.4396 6.0090 Na
```

Values from the calculation:
Uncorrected formation energy, meV/atom: 155
Calculated volume, Å³/atom: 20.55
Total magnetization, μB per atom: 0.0000
Uncorrected energy, eV for the cell shown: -20.0

Record 2
Computed, not measured: an optimized crystal structure of NaAlSi at the GGA-PBE level of DFT.

Geometry as POSCAR:
```
NaAlSi
1.0
-1.4383 -7.7171 -1.0516
4.7030 0.8535 3.2545
-2.8092 0.1254 5.6001
Na Al Si
4 4 4
Cartesian
-1.1668 -5.2901 0.4337 Na
1.4571 -7.0408 2.2368 Na
-1.1583 -6.9420 4.3915 Na
1.0075 -4.8605 5.8753 Na
-1.2621 -2.5641 2.0319 Al
-2.0220 -1.0691 4.2499 Al
1.3271 -2.3223 1.1484 Al
-1.6564 -3.8380 4.4724 Al
1.2471 -2.0834 4.1298 Si
0.0738 -0.4799 2.6839 Si
0.5356 -4.1298 2.9641 Si
1.0197 -1.9291 6.5285 Si
```

Values from the calculation:
Uncorrected formation energy, meV/atom: 89
Calculated volume, Å³/atom: 22.03
Total magnetization, μB per atom: 0.0000
Uncorrected energy, eV for the cell shown: -40.9

Record 3
Computed, not measured: an optimized crystal structure of NaAlSi at the GGA-PBE level of DFT.

Geometry as POSCAR:
```
NaAlSi
1.0
-3.5569 4.1341 -4.9381
-1.1052 -5.6962 4.5232
-0.9745 2.2268 2.5662
Na Al Si
2 2 2
Cartesian
-2.7988 0.6742 -0.4308 Na
-2.8378 -0.0096 2.5820 Na
-3.7574 3.6775 -0.9667 Al
-1.8792 -3.0129 3.1179 Al
-3.6591 4.1238 -3.7509 Si
-1.9775 -3.4592 5.9021 Si
```

Values from the calculation:
Uncorrected formation energy, meV/atom: 236
Calculated volume, Å³/atom: 20.15
Total magnetization, μB per atom: 0.0000
Uncorrected energy, eV for the cell shown: -19.6

Question: Number 1 is which compound?
Answer: NaAlSi